(1)
VASP calculation (SCAN) on a crystal of Zr2Be relaxed with PBEsol.

Output
Volume in Å³ per cell: 106.1
M_tot in μB per formula unit: 0.00
Space-group type: P6_3/mmc, No. 194
Electronic total energy in eV per cell: -131.165

a = 4.5969 Å, b = 4.5969 Å, c = 5.7975 Å
α = 90.00°, β = 90.00°, γ = 120.00°
Fractional coordinates of all 6 atoms:
Zr 0.0000 0.0000 0.0000
Be 0.6667 0.3333 0.7500
Be 0.3333 0.6667 0.2500
Zr 0.0000 0.0000 0.5000
Zr 0.3333 0.6667 0.7500
Zr 0.6667 0.3333 0.2500


(2)
VASP calculation (SCAN) on a crystal of Zr2Be relaxed with PBEsol.

Output
Volume in Å³ per cell: 158.7
M_tot in μB per formula unit: 0.00
Space-group type: P-62m, No. 189
Electronic total energy in eV per cell: -197.240

a = 3.7884 Å, b = 6.9551 Å, c = 6.9551 Å
α = 120.00°, β = 90.00°, γ = 90.00°
Fractional coordinates of all 9 atoms:
Zr 0.0000 0.0000 0.2598
Zr 0.0000 0.7402 0.7402
Be 0.0000 0.6667 0.3333
Be 0.5000 0.0000 0.0000
Zr 0.5000 0.0000 0.5917
Zr 0.5000 0.4083 0.4083
Zr 0.5000 0.5917 0.0000
Zr 0.0000 0.2598 0.0000
Be 0.0000 0.3333 0.6667


(3)
VASP calculation (SCAN) on a crystal of Zr2Be relaxed with PBEsol.

Output
Volume in Å³ per cell: 212.5
M_tot in μB per formula unit: 0.00
Space-group type: Pnma, No. 62
Electronic total energy in eV per cell: -263.010

a = 4.2730 Å, b = 5.7705 Å, c = 8.6177 Å
α = 90.00°, β = 90.00°, γ = 90.00°
Fractional coordinates of all 12 atoms:
Zr 0.7500 0.4431 0.6841
Be 0.7500 0.8194 0.1120
Zr 0.7500 0.8668 0.4186
Zr 0.2500 0.5569 0.3159
Zr 0.2500 0.6332 0.9186
Be 0.7500 0.3194 0.3880
Zr 0.7500 0.9431 0.8159
Zr 0.2500 0.0569 0.1841
Zr 0.7500 0.3668 0.0814
Be 0.2500 0.1806 0.8880
Be 0.2500 0.6806 0.6120
Zr 0.2500 0.1332 0.5814


Number 1: E_form 5.42 kJ/mol of atoms. Number 2: E_form 0.14 kJ/mol of atoms. Number 3: E_form -0.05 kJ/mol of atoms.